Record 1
Density functional theory data (PBE-GGA) for Ce7InSi5 after structural relaxation.

Summary:
As for the space-group type: Imm2 (44). Its total energy is -76.651 eV/cell.

Lattice parameters (Å, degrees): 5.910 7.874 7.874 84.09 67.96 67.96
Fractional coordinates of all 13 atoms:
Si: 0.032 0.502 0.013
Si: 0.453 0.013 0.502
Ce: 0.523 0.144 0.809
Ce: 0.673 0.327 0.327
In: 0.990 0.010 0.010
Ce: 0.977 0.340 0.706
Ce: 0.977 0.706 0.340
Si: 0.453 0.502 0.013
Si: 0.032 0.013 0.502
Ce: 0.523 0.809 0.144
Si: 0.758 0.742 0.742
Ce: 0.300 0.700 0.700
Ce: 0.308 0.192 0.192

Record 2
Density functional theory data (PBE-GGA) for NpCuNiGe2 after structural relaxation.

Summary:
As for the space-group type: I-4m2 (119). As for the calculated formation energy: -1.29 eV/f.u. Its total energy is -33.343 eV/cell.

Lattice parameters (Å, degrees): 4.055 4.055 5.818 110.40 110.40 90.00
Fractional coordinates of all 5 atoms:
Np: 0.000 0.000 0.000
Ge: 0.377 0.377 0.754
Cu: 0.250 0.750 0.500
Ni: 0.750 0.250 0.500
Ge: 0.623 0.623 0.246

Record 3
Density functional theory data (PBE-GGA) for Pt2RhW after structural relaxation.

Summary:
As for the space-group type: Cm (8). As for the calculated formation energy: -0.80 eV/f.u. Its total energy is -33.184 eV/cell.

Lattice parameters (Å, degrees): 4.831 4.831 4.819 80.35 80.35 33.45
Fractional coordinates of all 4 atoms:
Pt: 0.752 0.752 0.747
Pt: 0.996 0.996 0.006
Rh: 0.504 0.504 0.492
W: 0.248 0.248 0.254

Record 4
Density functional theory data (PBE-GGA) for HfTi4Sb2 after structural relaxation.

Summary:
As for the space-group type: P4_2/mnm (136). Its total energy is -103.027 eV/cell.

Lattice parameters (Å, degrees): 3.608 8.847 8.847 90.00 90.00 90.00
Fractional coordinates of all 14 atoms:
Ti: 0.500 0.421 0.843
Ti: 0.500 0.579 0.157
Sb: 0.000 0.190 0.810
Ti: 0.000 0.657 0.921
Sb: 0.000 0.810 0.190
Ti: 0.000 0.343 0.079
Hf: 0.500 0.000 0.000
Sb: 0.500 0.690 0.690
Ti: 0.000 0.921 0.657
Ti: 0.500 0.157 0.579
Ti: 0.000 0.079 0.343
Sb: 0.500 0.310 0.310
Ti: 0.500 0.843 0.421
Hf: 0.000 0.500 0.500

The records above yield magnetization values of 3.49; 3.72; 0.00; 0.00 μB per cell, respectively.